Entry from Alexandria: a geometry-optimized Mn2CoW structure (PBE). Values from VASP.

Properties
The polymorph energy (0 for the lowest one) comes out at 61 meV/atom. Its size of the total moment is 5.567 μB per formula unit. The energy relative to the elements is 0.088 eV/atom. The calculation puts the density of states at the Fermi level at 2.65 states/eV per cell.

The structure in Quantum ESPRESSO input format:
```
&SYSTEM
  ibrav = 0, nat = 4, ntyp = 3
/
ATOMIC_SPECIES
Co 58.93 Co.upf
W 183.84 W.upf
Mn 54.94 Mn.upf
CELL_PARAMETERS angstrom
-4.676 1.260 0.624
-1.788 -0.089 4.543
3.510 1.915 -2.802
ATOMIC_POSITIONS angstrom
Co -0.741 1.204 2.151
W -3.216 0.583 2.571
Mn -2.198 1.880 0.202
Mn -0.030 0.006 0.024
```

Entry from Alexandria: a geometry-optimized Mn2CoW structure (PBE). Values from VASP.

Properties
The polymorph energy (0 for the lowest one) comes out at 36 meV/atom. Its size of the total moment is 0.708 μB per formula unit. The energy relative to the elements is 0.063 eV/atom. The calculation puts the density of states at the Fermi level at 3.50 states/eV per cell.

The structure in Quantum ESPRESSO input format:
```
&SYSTEM
  ibrav = 0, nat = 4, ntyp = 3
/
ATOMIC_SPECIES
Mn 54.94 Mn.upf
W 183.84 W.upf
Co 58.93 Co.upf
CELL_PARAMETERS angstrom
-4.507 0.320 0.076
-1.891 -3.587 -1.995
3.150 0.405 3.216
ATOMIC_POSITIONS angstrom
Mn -0.970 -2.408 0.130
Mn 0.000 0.000 0.000
W -3.199 -1.634 -0.960
Co -2.278 -0.454 1.166
```

Entry from Alexandria: a geometry-optimized MnCoW structure (PBE). Values from VASP.

Properties
The polymorph energy (0 for the lowest one) comes out at 115 meV/atom. Its size of the total moment is 1.431 μB per formula unit. The energy relative to the elements is 0.096 eV/atom. The calculation puts the density of states at the Fermi level at 12.59 states/eV per cell.

The structure in Quantum ESPRESSO input format:
```
&SYSTEM
  ibrav = 0, nat = 12, ntyp = 3
/
ATOMIC_SPECIES
W 183.84 W.upf
Co 58.93 Co.upf
Mn 54.94 Mn.upf
CELL_PARAMETERS angstrom
-3.518 -1.669 3.473
-2.377 -0.726 -2.757
4.322 -6.559 -2.000
ATOMIC_POSITIONS angstrom
W -1.485 -3.777 2.274
W -0.513 -7.419 -0.104
W -2.217 -2.193 -0.010
W 1.133 -5.110 0.368
Co 0.412 -3.949 -1.815
Co -0.428 -1.539 -1.725
Co 2.922 -4.455 -1.347
Co -0.560 -0.307 0.564
Mn 1.220 -6.353 -1.879
Mn -2.314 -1.194 2.309
Mn -1.341 -4.837 -0.070
Mn 0.248 -2.711 0.500
```

Entry from Alexandria: a geometry-optimized Mn2CoW structure (PBE). Values from VASP.

Properties
The polymorph energy (0 for the lowest one) comes out at 147 meV/atom. Its size of the total moment is 0.008 μB per formula unit. The energy relative to the elements is 0.173 eV/atom. The calculation puts the density of states at the Fermi level at 5.05 states/eV per cell.

The structure in Quantum ESPRESSO input format:
```
&SYSTEM
  ibrav = 0, nat = 4, ntyp = 3
/
ATOMIC_SPECIES
Co 58.93 Co.upf
Mn 54.94 Mn.upf
W 183.84 W.upf
CELL_PARAMETERS angstrom
-1.030 1.920 3.916
0.154 -0.368 4.464
3.825 2.181 0.842
ATOMIC_POSITIONS angstrom
Co 0.726 0.939 2.353
Mn 2.332 2.854 6.882
Mn 2.902 3.704 9.199
W 1.410 1.836 4.622
```

Entry from Alexandria: a geometry-optimized Mn2CoW structure (PBE). Values from VASP.

Properties
The polymorph energy (0 for the lowest one) comes out at 168 meV/atom. Its size of the total moment is 3.290 μB per formula unit. The energy relative to the elements is 0.195 eV/atom. The calculation puts the density of states at the Fermi level at 4.75 states/eV per cell.

The structure in Quantum ESPRESSO input format:
```
&SYSTEM
  ibrav = 0, nat = 4, ntyp = 3
/
ATOMIC_SPECIES
Mn 54.94 Mn.upf
W 183.84 W.upf
Co 58.93 Co.upf
CELL_PARAMETERS angstrom
2.585 -0.035 0.000
-0.147 2.581 0.000
0.000 0.000 7.487
ATOMIC_POSITIONS angstrom
Mn 0.000 0.000 7.282
Mn 0.000 0.000 3.949
W 1.219 1.273 1.872
Co 1.219 1.273 5.616
```

Entry from Alexandria: a geometry-optimized MnCo2W structure (PBE). Values from VASP.

Properties
The polymorph energy (0 for the lowest one) comes out at 178 meV/atom. Its size of the total moment is 0.424 μB per formula unit. The energy relative to the elements is 0.150 eV/atom. The calculation puts the density of states at the Fermi level at 4.08 states/eV per cell.

The structure in Quantum ESPRESSO input format:
```
&SYSTEM
  ibrav = 0, nat = 4, ntyp = 3
/
ATOMIC_SPECIES
Mn 54.94 Mn.upf
W 183.84 W.upf
Co 58.93 Co.upf
CELL_PARAMETERS angstrom
2.620 -0.006 0.000
0.011 2.620 0.000
0.000 0.000 7.219
ATOMIC_POSITIONS angstrom
Mn 0.000 0.000 3.444
W 1.315 1.307 5.477
Co 0.000 0.000 0.144
Co 1.315 1.307 1.763
```

Entry from Alexandria: a geometry-optimized Mn2CoW structure (PBE). Values from VASP.

Properties
The polymorph energy (0 for the lowest one) comes out at 61 meV/atom. Its size of the total moment is 4.687 μB per formula unit. The energy relative to the elements is 0.088 eV/atom. The calculation puts the density of states at the Fermi level at 2.87 states/eV per cell.

The structure in Quantum ESPRESSO input format:
```
&SYSTEM
  ibrav = 0, nat = 4, ntyp = 3
/
ATOMIC_SPECIES
W 183.84 W.upf
Co 58.93 Co.upf
Mn 54.94 Mn.upf
CELL_PARAMETERS angstrom
3.001 0.000 0.000
0.000 4.199 0.000
0.000 0.000 4.027
ATOMIC_POSITIONS angstrom
W 1.500 0.000 2.014
Co 0.000 2.099 2.014
Mn 0.000 0.000 0.000
Mn 1.500 2.099 0.000
```

Entry from Alexandria: a geometry-optimized MnCoW structure (PBE). Values from VASP.

Properties
The polymorph energy (0 for the lowest one) comes out at 181 meV/atom. Its size of the total moment is 0.174 μB per formula unit. The energy relative to the elements is 0.161 eV/atom. The calculation puts the density of states at the Fermi level at 6.78 states/eV per cell.

The structure in Quantum ESPRESSO input format:
```
&SYSTEM
  ibrav = 0, nat = 6, ntyp = 3
/
ATOMIC_SPECIES
Co 58.93 Co.upf
Mn 54.94 Mn.upf
W 183.84 W.upf
CELL_PARAMETERS angstrom
-4.042 -2.206 0.176
-1.404 -2.497 -3.651
1.114 -4.581 -0.203
ATOMIC_POSITIONS angstrom
Co -2.678 -2.520 -1.131
Co -3.416 -6.253 -2.727
Mn -0.388 -4.542 -0.711
Mn -2.743 -5.007 -0.900
W -1.838 -4.411 -3.165
W -4.709 -4.127 -2.208
```

Entry from Alexandria: a geometry-optimized MnCo2W structure (PBE). Values from VASP.

Properties
The polymorph energy (0 for the lowest one) comes out at 64 meV/atom. Its size of the total moment is 3.280 μB per formula unit. The energy relative to the elements is 0.037 eV/atom. The calculation puts the density of states at the Fermi level at 3.34 states/eV per cell.

The structure in Quantum ESPRESSO input format:
```
&SYSTEM
  ibrav = 0, nat = 4, ntyp = 3
/
ATOMIC_SPECIES
Mn 54.94 Mn.upf
Co 58.93 Co.upf
W 183.84 W.upf
CELL_PARAMETERS angstrom
-4.533 0.182 -0.179
-1.807 -4.038 -1.019
3.049 1.357 3.078
ATOMIC_POSITIONS angstrom
Mn -3.170 -1.928 -0.599
Co 0.000 0.000 0.000
Co -0.964 -2.305 0.730
W -2.327 -0.195 1.150
```

Entry from Alexandria: a geometry-optimized MnCo2W structure (PBE). Values from VASP.

Properties
The polymorph energy (0 for the lowest one) comes out at 92 meV/atom. Its size of the total moment is 1.458 μB per formula unit. The energy relative to the elements is 0.064 eV/atom. The calculation puts the density of states at the Fermi level at 3.77 states/eV per cell.

The structure in Quantum ESPRESSO input format:
```
&SYSTEM
  ibrav = 0, nat = 4, ntyp = 3
/
ATOMIC_SPECIES
W 183.84 W.upf
Mn 54.94 Mn.upf
Co 58.93 Co.upf
CELL_PARAMETERS angstrom
-3.231 -0.150 -1.583
-1.088 -0.608 2.279
-1.808 4.383 3.273
ATOMIC_POSITIONS angstrom
W -3.787 2.756 3.372
Mn -2.339 0.869 0.596
Co -1.100 -0.532 2.295
Co -1.437 1.811 2.760
```

Entry from Alexandria: a geometry-optimized MnCoW structure (PBE). Values from VASP.

Properties
The polymorph energy (0 for the lowest one) comes out at 182 meV/atom. Its size of the total moment is 1.979 μB per formula unit. The energy relative to the elements is 0.162 eV/atom. The calculation puts the density of states at the Fermi level at 14.79 states/eV per cell.

The structure in Quantum ESPRESSO input format:
```
&SYSTEM
  ibrav = 0, nat = 12, ntyp = 3
/
ATOMIC_SPECIES
W 183.84 W.upf
Co 58.93 Co.upf
Mn 54.94 Mn.upf
CELL_PARAMETERS angstrom
4.742 0.000 -0.020
0.000 4.838 0.000
-4.760 0.000 6.875
ATOMIC_POSITIONS angstrom
W 1.569 2.419 3.352
W -0.811 0.000 6.790
W 0.432 2.419 5.934
W 2.812 0.000 2.496
Co 0.388 3.628 1.668
Co 0.388 1.210 1.668
Co -1.991 3.628 5.106
Co -1.991 1.209 5.106
Mn 0.359 0.000 4.182
Mn -3.186 0.000 6.807
Mn -0.806 2.419 3.370
Mn 2.738 2.419 0.744
```

Entry from Alexandria: a geometry-optimized Mn2CoW structure (PBE). Values from VASP.

Properties
The polymorph energy (0 for the lowest one) comes out at 131 meV/atom. Its size of the total moment is 1.406 μB per formula unit. The energy relative to the elements is 0.158 eV/atom. The calculation puts the density of states at the Fermi level at 4.97 states/eV per cell.

The structure in Quantum ESPRESSO input format:
```
&SYSTEM
  ibrav = 0, nat = 4, ntyp = 3
/
ATOMIC_SPECIES
W 183.84 W.upf
Mn 54.94 Mn.upf
Co 58.93 Co.upf
CELL_PARAMETERS angstrom
-2.487 3.598 -0.747
-4.119 1.596 -0.422
-0.728 1.283 4.237
ATOMIC_POSITIONS angstrom
W -5.501 4.858 2.301
Mn -6.562 5.181 -1.036
Mn -3.711 3.253 1.401
Co -1.834 1.619 0.767
```

Entry from Alexandria: a geometry-optimized MnCoW structure (PBE). Values from VASP.

Properties
The polymorph energy (0 for the lowest one) comes out at 146 meV/atom. Its size of the total moment is 1.312 μB per formula unit. The energy relative to the elements is 0.126 eV/atom. The calculation puts the density of states at the Fermi level at 12.37 states/eV per cell.

The structure in Quantum ESPRESSO input format:
```
&SYSTEM
  ibrav = 0, nat = 12, ntyp = 3
/
ATOMIC_SPECIES
Co 58.93 Co.upf
Mn 54.94 Mn.upf
W 183.84 W.upf
CELL_PARAMETERS angstrom
-4.603 -0.986 -1.997
1.604 -1.973 -2.724
1.438 -6.150 5.302
ATOMIC_POSITIONS angstrom
Co -1.582 -3.568 1.653
Co 0.802 -0.987 -1.362
Co 0.719 -3.075 2.651
Co -1.499 -1.480 -2.360
Mn -1.845 -3.685 -0.966
Mn -1.237 -1.362 0.258
Mn 0.285 -5.424 1.548
Mn -1.928 -5.774 3.047
W 0.339 -5.393 4.106
W 0.422 -3.305 0.093
W -3.504 -1.743 -0.801
W -1.982 -5.804 0.488
```

Entry from Alexandria: a geometry-optimized Mn2CoW structure (PBE). Values from VASP.

Properties
The polymorph energy (0 for the lowest one) comes out at 245 meV/atom. Its size of the total moment is 1.268 μB per formula unit. The energy relative to the elements is 0.272 eV/atom. The calculation puts the density of states at the Fermi level at 4.75 states/eV per cell.

The structure in Quantum ESPRESSO input format:
```
&SYSTEM
  ibrav = 0, nat = 4, ntyp = 3
/
ATOMIC_SPECIES
Co 58.93 Co.upf
W 183.84 W.upf
Mn 54.94 Mn.upf
CELL_PARAMETERS angstrom
-5.902 -6.108 0.963
-3.750 -7.649 0.698
-4.390 -6.656 3.082
ATOMIC_POSITIONS angstrom
Co -10.466 -15.214 3.534
W -6.998 -10.174 2.363
Mn -14.033 -20.399 4.739
Mn -3.608 -5.245 1.218
```